Entry one
# SiAs2Pb | Alexandria | PBEsol | optimized geometry
data_SiAs2Pb
_space_group_name_H-M_alt 'P 4 m m'
_space_group_IT_number 99
_space_group_name_Hall 'P 4 -2'
_cell_length_a 3.794
_cell_length_b 3.794
_cell_length_c 6.326
_cell_angle_alpha 90.00
_cell_angle_beta 90.00
_cell_angle_gamma 90.00
loop_
_atom_site_label
_atom_site_fract_x
_atom_site_fract_y
_atom_site_fract_z
Si1 0.000 0.000 0.000
As1 0.000 0.000 0.623
As2 0.500 0.500 0.041
Pb1 0.500 0.500 0.482
# Magnetic moment   0.00 Bohr magnetons per cell

Entry two
# SiAs2Pb | Alexandria | PBEsol | optimized geometry
data_SiAs2Pb
_space_group_name_H-M_alt 'I 4/m m m'
_space_group_IT_number 139
_space_group_name_Hall '-I 4 2'
_cell_length_a 4.422
_cell_length_b 4.422
_cell_length_c 8.571
_cell_angle_alpha 90.00
_cell_angle_beta 90.00
_cell_angle_gamma 90.00
loop_
_atom_site_label
_atom_site_fract_x
_atom_site_fract_y
_atom_site_fract_z
Si1 0.000 0.000 0.000
As1 0.000 0.500 0.250
Pb1 0.000 0.000 0.500
# Magnetic moment   0.00 Bohr magnetons per cell

Entry three
# SiAs2Pb | Alexandria | PBEsol | optimized geometry
data_SiAs2Pb
_space_group_name_H-M_alt 'P 4/m m m'
_space_group_IT_number 123
_space_group_name_Hall '-P 4 2'
_cell_length_a 4.943
_cell_length_b 4.943
_cell_length_c 3.379
_cell_angle_alpha 90.00
_cell_angle_beta 90.00
_cell_angle_gamma 90.00
loop_
_atom_site_label
_atom_site_fract_x
_atom_site_fract_y
_atom_site_fract_z
Si1 0.000 0.000 0.000
As1 0.000 0.500 0.500
Pb1 0.500 0.500 0.000
# Magnetic moment   0.00 Bohr magnetons per cell

If we sort the structures by their calculated energies, the order from most to least stable is entry one, entry three, entry two.

Entry one
# Si2AsPb | Alexandria | PBEsol | optimized geometry
data_Si2AsPb
_space_group_name_H-M_alt 'I -4 m 2'
_space_group_IT_number 119
_space_group_name_Hall 'I -4 -2'
_cell_length_a 4.041
_cell_length_b 4.041
_cell_length_c 9.882
_cell_angle_alpha 90.00
_cell_angle_beta 90.00
_cell_angle_gamma 90.00
loop_
_atom_site_label
_atom_site_fract_x
_atom_site_fract_y
_atom_site_fract_z
Si1 0.000 0.000 0.000
Si2 0.000 0.500 0.250
As1 0.000 0.000 0.500
Pb1 0.000 0.500 0.750
# Magnetic moment   0.00 Bohr magnetons per cell

Entry two
# Si2AsPb | Alexandria | PBEsol | optimized geometry
data_Si2AsPb
_space_group_name_H-M_alt 'F -4 3 m'
_space_group_IT_number 216
_space_group_name_Hall 'F -4 2 3'
_cell_length_a 6.814
_cell_length_b 6.814
_cell_length_c 6.814
_cell_angle_alpha 90.00
_cell_angle_beta 90.00
_cell_angle_gamma 90.00
loop_
_atom_site_label
_atom_site_fract_x
_atom_site_fract_y
_atom_site_fract_z
Si1 0.000 0.000 0.000
Si2 0.250 0.250 0.250
As1 0.250 0.250 0.750
Pb1 0.000 0.000 0.500
# Magnetic moment   0.00 Bohr magnetons per cell

If we sort the structures by their calculated energies, the order from most to least stable is entry two, entry one.

Entry one
# TeAsPb2 | Alexandria | PBEsol | optimized geometry
data_TeAsPb2
_space_group_name_H-M_alt 'C 1 2/m 1'
_space_group_IT_number 12
_space_group_name_Hall '-C 2y'
_cell_length_a 7.448
_cell_length_b 4.322
_cell_length_c 7.629
_cell_angle_alpha 90.00
_cell_angle_beta 108.91
_cell_angle_gamma 90.00
loop_
_atom_site_label
_atom_site_fract_x
_atom_site_fract_y
_atom_site_fract_z
Te1 0.000 0.000 0.000
As1 0.000 0.500 0.500
Pb1 0.240 0.000 0.722
# Magnetic moment   0.00 Bohr magnetons per cell

Entry two
# TeAsPb2 | Alexandria | PBEsol | optimized geometry
data_TeAsPb2
_space_group_name_H-M_alt 'I m m 2'
_space_group_IT_number 44
_space_group_name_Hall 'I 2 -2'
_cell_length_a 3.725
_cell_length_b 5.405
_cell_length_c 10.570
_cell_angle_alpha 90.00
_cell_angle_beta 90.00
_cell_angle_gamma 90.00
loop_
_atom_site_label
_atom_site_fract_x
_atom_site_fract_y
_atom_site_fract_z
Te1 0.000 0.000 0.000
As1 0.000 0.500 0.718
Pb1 0.000 0.000 0.442
Pb2 0.000 0.500 0.229
# Magnetic moment   0.00 Bohr magnetons per cell

If we sort the structures by their calculated energies, the order from most to least stable is entry one, entry two.